DFT (PBE with a Hubbard U) results for CrSnIO2 after structural relaxation.

* excess energy over the best structure of this formula in the dataset: 0 meV per atom
* DFT total energy: -0.18749 hartree per atom

Cell and atoms, written as POSCAR:
```
CrSnIO2
1.0
4.056 0.000 0.000
0.000 4.056 0.000
0.000 0.000 6.509
Cr Sn I O
1 1 1 2
Direct
0.000 0.000 0.000 Cr
0.500 0.500 0.500 Sn
0.500 0.500 0.000 I
0.000 0.500 0.500 O
0.500 0.000 0.500 O
```